(1)
Computed, not measured: CaNd6Cd5 after structural relaxation at the PBE level of DFT.

Results
ΔE_f	-23.1	kJ per mole of atoms
raw total energy	-3.172	eV per atom

a b c (Å): 5.509 7.761 16.640
angles (deg): 90.00 90.00 90.00
Space group Immm (No. 71)
Unique sites:
Ca 0.000 0.000 0.000 (multiplicity 2)
Nd 0.000 0.230 0.500 (multiplicity 4)
Nd 0.000 0.258 0.173 (multiplicity 8)
Cd 0.000 0.000 0.332 (multiplicity 4)
Cd 0.000 0.500 0.000 (multiplicity 2)
Cd 0.000 0.500 0.346 (multiplicity 4)

---

(2)
Computed, not measured: Pm2NdSm after structural relaxation at the PBE level of DFT.

Results
ΔE to the lowest computed polymorph	3	meV/atom
ΔE_f	1.4	kJ per mole of atoms
raw total energy	-4.732	eV per atom

a b c (Å): 5.161 5.161 5.161
angles (deg): 90.00 90.00 90.00
Space group P4/mmm (No. 123)
Unique sites:
Pm 0.000 0.500 0.000 (multiplicity 2)
Nd 0.000 0.000 0.500 (multiplicity 1)
Sm 0.500 0.500 0.500 (multiplicity 1)